Record 1
A plane-wave DFT calculation with GGA-PBE was carried out for a relaxed LiNdMgAg crystal.

Cell: 7.1446 7.1446 7.1446 Å, 90.00 90.00 90.00°
Space group F-43m (No. 216)
Inequivalent atoms, fractional coordinates:
Li 0.0000 0.0000 0.0000 x4
Nd 0.2500 0.2500 0.2500 x4
Mg 0.2500 0.2500 0.7500 x4
Ag 0.0000 0.0000 0.5000 x4

Values from the calculation:
N(E_F) = 1.354 states/eV per atom
uncorrected energy = -2.943 eV per atom
crystal system = cubic

***

Record 2
A plane-wave DFT calculation with GGA-PBE was carried out for a relaxed Cu2RuPtAu crystal.

Cell: 4.6098 4.6098 4.9278 Å, 90.00 90.00 90.00°
Space group P4/mmm (No. 123)
Inequivalent atoms, fractional coordinates:
Cu 0.0000 0.5000 0.0000 x2
Ru 0.0000 0.0000 0.5000 x1
Pt 0.5000 0.5000 0.5000 x1
Au 0.0000 0.0000 0.0000 x1

Values from the calculation:
N(E_F) = 0.781 states/eV per atom
uncorrected energy = -3.868 eV per atom
crystal system = tetragonal

***

Record 3
A plane-wave DFT calculation with GGA-PBE was carried out for a relaxed Ac5Sm4Y crystal.

Cell: 4.3957 4.3957 20.1086 Å, 90.00 90.00 90.00°
Space group P4/mmm (No. 123)
Inequivalent atoms, fractional coordinates:
Ac 0.0000 0.0000 0.0000 x1
Ac 0.0000 0.0000 0.1993 x2
Ac 0.0000 0.0000 0.4007 x2
Sm 0.5000 0.5000 0.0995 x2
Sm 0.5000 0.5000 0.2997 x2
Y 0.5000 0.5000 0.5000 x1

Values from the calculation:
N(E_F) = 1.686 states/eV per atom
uncorrected energy = -4.495 eV per atom
crystal system = tetragonal

***

Record 4
A plane-wave DFT calculation with GGA-PBE was carried out for a relaxed ZrCoW crystal.

Cell: 4.5073 4.5073 2.7823 Å, 90.00 90.00 120.00°
Space group P3m1 (No. 156)
Inequivalent atoms, fractional coordinates:
Zr 0.0000 0.0000 0.0000 x1
Co 0.6667 0.3333 0.3502 x1
W 0.3333 0.6667 0.5953 x1

Values from the calculation:
N(E_F) = 1.119 states/eV per atom
energy relative to the lowest polymorph listed for this composition = 419 meV/atom
crystal system = trigonal

***

Record 5
A plane-wave DFT calculation with GGA-PBE was carried out for a relaxed Pu3CuAg4S8 crystal.

Cell: 12.8026 7.8592 7.5958 Å, 90.00 120.12 90.00°
Space group C2/m (No. 12)
Inequivalent atoms, fractional coordinates:
Pu 0.0000 0.0000 0.0000 x2
Pu 0.2500 0.2500 0.5000 x4
Cu 0.0000 0.5000 0.0000 x2
Ag 0.0000 0.0000 0.5000 x2
Ag 0.0000 0.5000 0.5000 x2
Ag 0.2500 0.2500 0.0000 x4
S 0.0074 0.2780 0.2281 x8
S 0.2242 0.0000 0.7226 x4
S 0.2447 0.0000 0.2479 x4

Values from the calculation:
E_form (uncorrected) = -0.79 eV/atom
N(E_F) = 1.607 states/eV per atom
crystal system = monoclinic

***

Record 6
A plane-wave DFT calculation with GGA-PBE was carried out for a relaxed KTl2PBr6 crystal.

Cell: 8.0547 8.0547 19.5996 Å, 90.00 90.00 120.00°
Space group R3 (No. 146, hexagonal axes)
Inequivalent atoms, fractional coordinates:
K 0.0000 0.0000 0.0000 x3
Tl 0.0000 0.0000 0.2868 x3
Tl 0.0000 0.0000 0.7805 x3
P 0.0000 0.0000 0.4966 x3
Br 0.0482 0.2818 0.5671 x9
Br 0.0879 0.7053 0.0794 x9

Values from the calculation:
E_form (uncorrected) = -0.75 eV/atom
N(E_F) = 0.000 states/eV per atom
crystal system = trigonal

***

Record 7
A plane-wave DFT calculation with GGA-PBE was carried out for a relaxed Rb4NpNb3O12 crystal.

Cell: 8.3127 8.3127 8.3127 Å, 90.00 90.00 90.00°
Space group Im-3m (No. 229)
Inequivalent atoms, fractional coordinates:
Rb 0.2500 0.2500 0.2500 x8
Np 0.0000 0.0000 0.0000 x2
Nb 0.0000 0.0000 0.5000 x6
O 0.0000 0.0000 0.2573 x12
O 0.0000 0.2500 0.5000 x12

Values from the calculation:
E_form (uncorrected) = -2.40 eV/atom
N(E_F) = 0.361 states/eV per atom
crystal system = cubic

***

Record 8
A plane-wave DFT calculation with GGA-PBE was carried out for a relaxed NdY7Er2 crystal.

Cell: 6.1764 29.7458 3.5249 Å, 90.00 90.94 90.00°
Space group C2/m (No. 12)
Inequivalent atoms, fractional coordinates:
Nd 0.0000 0.0000 0.0000 x2
Y 0.0000 0.2915 0.0000 x4
Y 0.0000 0.5000 0.5000 x2
Y 0.2442 0.3988 0.7750 x8
Er 0.0000 0.1916 0.5000 x4

Values from the calculation:
N(E_F) = 1.694 states/eV per atom
energy relative to the lowest polymorph listed for this composition = 0 meV/atom
crystal system = monoclinic

***

The ρ results, record by record, are as follows: 5.2, 9.8, 7.8, 11.3, 7.5, 4.3, 6.1, 5.6 g/cm3.